Record 1
Below is a relaxed Zr2Ti2Cd crystal, with properties calculated at the PBE level.

## Properties
volume: 21.15 A^3/atom
energy of formation: 229 meV per atom
energy: -6.531 eV/atom
energy above the most stable polymorph in this dataset: 0.259 eV per atom

Unit cell a=7.658 b=7.658 c=3.606 alpha=90.00 beta=90.00 gamma=90.00
Space group P4/mbm (No. 127)
Inequivalent atoms, fractional coordinates:
Zr 0.137 0.363 0.000
Ti 0.158 0.658 0.500
Cd 0.000 0.000 0.000



Record 2
Below is a relaxed La6Ga2Sn crystal, with properties calculated at the PBE level.

## Properties
volume: 31.23 A^3/atom
energy of formation: -341 meV per atom
energy: -4.743 eV/atom
energy above the most stable polymorph in this dataset: 0.118 eV per atom

Unit cell a=6.027 b=9.257 c=10.975 alpha=90.00 beta=113.34 gamma=90.00
Space group P2_1/c (No. 14)
Inequivalent atoms, fractional coordinates:
La 0.018 0.152 0.440
La 0.383 0.032 0.300
La 0.401 0.677 0.443
Ga 0.181 0.125 0.758
Sn 0.000 0.000 0.000



Record 3
Below is a relaxed NdSm2Y5 crystal, with properties calculated at the PBE level.

## Properties
volume: 32.95 A^3/atom
energy of formation: 17 meV per atom
energy: -5.798 eV/atom
energy above the most stable polymorph in this dataset: 0.000 eV per atom

Unit cell a=7.203 b=14.412 c=5.078 alpha=90.00 beta=90.00 gamma=90.00
Space group Pbam (No. 55)
Inequivalent atoms, fractional coordinates:
Nd 0.000 0.000 0.000
Sm 0.249 0.375 0.500
Y 0.000 0.500 0.000
Y 0.001 0.750 0.000
Y 0.249 0.125 0.500



Record 4
Below is a relaxed Na2OsCl6 crystal, with properties calculated at the PBE level.

## Properties
volume: 26.31 A^3/atom
energy: -3.772 eV/atom
energy relative to the elements, uncorrected: -1.000 eV/atom
energy above the most stable polymorph in this dataset: 0.032 eV per atom

Unit cell a=6.278 b=6.278 c=12.015 alpha=90.00 beta=90.00 gamma=90.00
Space group P4_2/mnm (No. 136)
Inequivalent atoms, fractional coordinates:
Na 0.000 0.000 0.168
Os 0.000 0.000 0.500
Cl 0.183 0.183 0.358
Cl 0.237 0.237 0.000